(1)
Compound: LuTiZnRu
Source: Alexandria
Functional: PBE
Structure: relaxed

Lattice parameters (Å, degrees): 6.5262 6.5262 6.5262 90.00 90.00 90.00
Closest atoms and distances in Å follow each position.
Fractional positions:
Lu1 0.0000 0.0000 0.0000  4 Zn 2.83, 4 Ru 2.83
Lu2 0.0000 0.5000 0.5000  4 Ru 2.83, 4 Zn 2.83
Lu3 0.5000 0.0000 0.5000  4 Ru 2.83, 4 Zn 2.83
Lu4 0.5000 0.5000 0.0000  4 Ru 2.83, 4 Zn 2.83
Ti1 0.0000 0.0000 0.5000  4 Ru 2.83, 4 Zn 2.83
Ti2 0.0000 0.5000 0.0000  4 Ru 2.83, 4 Zn 2.83
Ti3 0.5000 0.0000 0.0000  4 Ru 2.83, 4 Zn 2.83
Ti4 0.5000 0.5000 0.5000  4 Ru 2.83, 4 Zn 2.83
Zn1 0.2500 0.2500 0.2500  4 Ti 2.83, 4 Lu 2.83
Zn2 0.2500 0.7500 0.7500  4 Ti 2.83, 4 Lu 2.83
Zn3 0.7500 0.2500 0.7500  4 Ti 2.83, 4 Lu 2.83
Zn4 0.7500 0.7500 0.2500  4 Ti 2.83, 4 Lu 2.83
Ru1 0.2500 0.2500 0.7500  4 Ti 2.83, 4 Lu 2.83
Ru2 0.2500 0.7500 0.2500  4 Ti 2.83, 4 Lu 2.83
Ru3 0.7500 0.2500 0.2500  4 Ti 2.83, 4 Lu 2.83
Ru4 0.7500 0.7500 0.7500  4 Ti 2.83, 4 Lu 2.83

Calculated values
Total magnetic moment   0.00 μB/f.u.
Fermi-level density of states   12.2 states/eV per cell
Raw total energy   -6.0720 eV/atom
Space-group type   F-43m (216)
Crystal system   cubic
V   278.0 Å³/cell

(2)
Compound: Zn3Cd2Au8
Source: Alexandria
Functional: PBE
Structure: relaxed

Lattice parameters (Å, degrees): 7.8089 4.1242 8.7856 90.00 114.67 90.00
Closest atoms and distances in Å follow each position.
Fractional positions:
Zn1 0.0000 0.0000 0.0000  8 Au 2.68-2.78, 4 Zn 2.97
Zn2 0.2741 0.5000 0.0003  8 Au 2.66-2.86, 2 Zn 2.97
Zn3 0.7259 0.5000 0.9997  8 Au 2.66-2.86, 2 Zn 2.97
Cd1 0.2472 0.0000 0.4922  8 Au 2.89-3.00
Cd2 0.7528 0.0000 0.5078  8 Au 2.89-3.00
Au1 0.1132 0.5000 0.2329  4 Zn 2.78-2.86, 4 Au 2.88-2.89, 2 Cd 2.92
Au2 0.1478 0.0000 0.7747  3 Zn 2.68-2.74, 4 Au 2.81-2.88, 2 Cd 2.89-3.00
Au3 0.3682 0.0000 0.2232  3 Zn 2.72, 4 Au 2.80-2.89, 2 Cd 2.89-3.00
Au4 0.3784 0.5000 0.7485  2 Zn 2.66-2.69, 4 Au 2.80-2.81, 2 Cd 2.91
Au5 0.6216 0.5000 0.2515  2 Zn 2.66-2.69, 4 Au 2.80-2.81, 2 Cd 2.91
Au6 0.6318 0.0000 0.7768  3 Zn 2.72, 4 Au 2.80-2.89, 2 Cd 2.89-3.00
Au7 0.8522 0.0000 0.2253  3 Zn 2.68-2.74, 4 Au 2.81-2.88, 2 Cd 2.89-3.00
Au8 0.8868 0.5000 0.7671  4 Zn 2.78-2.86, 4 Au 2.88-2.89, 2 Cd 2.92

Calculated values
Total magnetic moment   0.00 μB/f.u.
Fermi-level density of states   4.4 states/eV per cell
Raw total energy   -2.5661 eV/atom
Space-group type   P2/m (10)
Crystal system   monoclinic
V   257.1 Å³/cell

(3)
Compound: MnHRuAu
Source: Alexandria
Functional: PBE
Structure: relaxed

Lattice parameters (Å, degrees): 3.7585 2.8030 10.3339 90.00 90.00 90.00
Closest atoms and distances in Å follow each position.
Fractional positions:
Mn1 0.0000 0.0000 0.0000  2 H 1.88
Mn2 0.0000 0.5000 0.5000  2 H 1.88
H1 0.5000 0.0000 0.9973  2 Ru 1.81, 2 Mn 1.88
H2 0.5000 0.5000 0.4973  2 Ru 1.81, 2 Mn 1.88
Ru1 0.5000 0.0000 0.6079  2 H 1.81
Ru2 0.5000 0.5000 0.1079  2 H 1.81
Au1 0.0000 0.0000 0.2735  3 Mn 2.73-2.83, 2 Au 2.80, 4 Ru 2.90
Au2 0.0000 0.5000 0.7735  3 Mn 2.73-2.83, 2 Au 2.80, 4 Ru 2.90

Calculated values
Total magnetic moment   3.30 μB/f.u.
Fermi-level density of states   4.7 states/eV per cell
Raw total energy   -5.9962 eV/atom
Space-group type   Amm2 (38)
ΔE to the lowest computed polymorph   139 meV/atom
Crystal system   orthorhombic
V   108.9 Å³/cell

(4)
Compound: ErNpAs2
Source: Alexandria
Functional: PBE
Structure: relaxed

Lattice parameters (Å, degrees): 3.9768 3.9768 21.5279 90.00 90.00 120.00
Closest atoms and distances in Å follow each position.
Fractional positions:
Er1 0.0000 0.0000 0.0000  6 As 2.85-2.92
Er2 0.3333 0.6667 0.6667  6 As 2.85-2.92
Er3 0.6667 0.3333 0.3333  6 As 2.85-2.92
Np1 0.0000 0.0000 0.8291  6 As 2.92-2.97
Np2 0.3333 0.6667 0.4957  6 As 2.92-2.97
Np3 0.6667 0.3333 0.1624  6 As 2.92-2.97
As1 0.0000 0.0000 0.4118  3 Er 2.85, 3 Np 2.92
As2 0.0000 0.0000 0.5830  3 Er 2.92, 3 Np 2.97
As3 0.3333 0.6667 0.0785  3 Er 2.85, 3 Np 2.92
As4 0.3333 0.6667 0.2496  3 Er 2.92, 3 Np 2.97
As5 0.6667 0.3333 0.7451  3 Er 2.85, 3 Np 2.92
As6 0.6667 0.3333 0.9163  3 Er 2.92, 3 Np 2.97

Calculated values
Total magnetic moment   3.97 μB/f.u.
Fermi-level density of states   21.4 states/eV per cell
Raw total energy   -7.6597 eV/atom
Space-group type   R3m (160)
ΔE to the lowest computed polymorph   137 meV/atom
Crystal system   trigonal
V   294.8 Å³/cell

(5)
Compound: RuPbAu2
Source: Alexandria
Functional: PBE
Structure: relaxed

Lattice parameters (Å, degrees): 3.1539 3.1539 8.0611 90.00 90.00 90.00
Closest atoms and distances in Å follow each position.
Fractional positions:
Ru1 0.0000 0.0000 0.0000  8 Au 2.80
Pb1 0.0000 0.0000 0.5000  4 Pb 3.15, 8 Au 3.23
Au1 0.5000 0.5000 0.2109  4 Ru 2.80
Au2 0.5000 0.5000 0.7891  4 Ru 2.80

Calculated values
Total magnetic moment   1.68 μB/f.u.
Fermi-level density of states   2.9 states/eV per cell
Raw total energy   -4.5071 eV/atom
Space-group type   P4/mmm (123)
Crystal system   tetragonal
V   80.2 Å³/cell

(6)
Compound: Ca2Pm4Er
Source: Alexandria
Functional: PBE
Structure: relaxed

Lattice parameters (Å, degrees): 5.7758 5.7758 17.7296 90.00 90.00 90.00
Closest atoms and distances in Å follow each position.
Fractional positions:
Ca1 0.0000 0.0000 0.1825  1 Er 3.24
Ca2 0.0000 0.0000 0.8175  1 Er 3.24
Ca3 0.5000 0.5000 0.3175  1 Er 3.24
Ca4 0.5000 0.5000 0.6825  1 Er 3.24
Pm1 0.0000 0.0000 0.3955  5 Pm 3.43-3.71, 1 Ca 3.78
Pm2 0.0000 0.0000 0.6045  5 Pm 3.43-3.71, 1 Ca 3.78
Pm3 0.0000 0.5000 0.0000  2 Er 2.89
Pm4 0.0000 0.5000 0.5000  2 Er 2.89
Pm5 0.5000 0.0000 0.0000  2 Er 2.89
Pm6 0.5000 0.0000 0.5000  2 Er 2.89
Pm7 0.5000 0.5000 0.1045  5 Pm 3.43-3.71, 1 Ca 3.78
Pm8 0.5000 0.5000 0.8955  5 Pm 3.43-3.71, 1 Ca 3.78
Er1 0.0000 0.0000 0.0000  4 Pm 2.89
Er2 0.5000 0.5000 0.5000  4 Pm 2.89

Calculated values
Total magnetic moment   0.34 μB/f.u.
Fermi-level density of states   16.4 states/eV per cell
Raw total energy   -3.4129 eV/atom
Space-group type   I4/mmm (139)
ΔE to the lowest computed polymorph   397 meV/atom
Crystal system   tetragonal
V   591.5 Å³/cell